(1)
Computed, not measured: a relaxed structure of VCF2 at the PBE with a Hubbard U level of DFT.

Unit cell a=3.8612 b=3.8612 c=3.8612 alpha=60.00 beta=60.00 gamma=60.00
Last column: nearest neighbours and their distance in Å.
Fractional coordinates of all 4 atoms:
C: 0.0000 0.0000 0.0000  8 F 2.36
V: 0.5000 0.5000 0.5000  8 F 2.36
F: 0.2500 0.2500 0.2500  4 C 2.36, 4 V 2.36
F: 0.7500 0.7500 0.7500  4 C 2.36, 4 V 2.36

Calculated values
E (eV per atom): -4.728

---

(2)
Computed, not measured: a relaxed structure of VC3F at the PBE with a Hubbard U level of DFT.

Unit cell a=3.6665 b=3.6665 c=3.6665 alpha=90.00 beta=90.00 gamma=90.00
Last column: nearest neighbours and their distance in Å.
Fractional coordinates of all 5 atoms:
C: 0.0000 0.5000 0.0000  2 F 1.83
C: 0.0000 0.0000 0.5000  2 F 1.83
C: 0.5000 0.0000 0.0000  2 F 1.83
V: 0.5000 0.5000 0.5000  12 C 2.59
F: 0.0000 0.0000 0.0000  6 C 1.83

Calculated values
E (eV per atom): -4.507

---

(3)
Computed, not measured: a relaxed structure of V2CF2 at the PBE with a Hubbard U level of DFT.

Unit cell a=3.0725 b=3.0725 c=5.7889 alpha=74.61 beta=74.61 gamma=90.00
Last column: nearest neighbours and their distance in Å.
Fractional coordinates of all 5 atoms:
C: 0.0000 0.0000 0.0000  8 V 2.46
V: 0.3918 0.3918 0.2165  4 F 2.16, 1 V 2.32
V: 0.6082 0.6082 0.7835  4 F 2.16, 1 V 2.32
F: 0.7500 0.2500 0.5000  4 V 2.16, 4 F 2.17
F: 0.2500 0.7500 0.5000  4 V 2.16, 4 F 2.17

Calculated values
E (eV per atom): -5.981

---

(4)
Computed, not measured: a relaxed structure of V3CF at the PBE with a Hubbard U level of DFT.

Unit cell a=4.2421 b=4.2421 c=4.2421 alpha=90.00 beta=90.00 gamma=90.00
Last column: nearest neighbours and their distance in Å.
Fractional coordinates of all 5 atoms:
C: 0.0000 0.0000 0.0000  6 V 2.12
V: 0.0000 0.5000 0.0000  2 C 2.12
V: 0.0000 0.0000 0.5000  2 C 2.12
V: 0.5000 0.0000 0.0000  2 C 2.12
F: 0.5000 0.5000 0.5000  12 V 3.00

Calculated values
E (eV per atom): -6.092